BeTc2As | GGA-PBE | optimized geometry

As for the density of states at the Fermi level: 3.63 states/eV per cell. The value obtained for the formation energy is 22.5 meV/atom.

Unit cell a=3.0011 b=3.0011 c=5.7770 alpha=90.00 beta=90.00 gamma=90.00
Fractional positions:
Be 0.5000 0.5000 0.7500
As 0.5000 0.5000 0.2500
Tc 0.0000 0.0000 0.9794
Tc 0.0000 0.0000 0.5206

LiMg14Cu | GGA-PBE | optimized geometry

As for the density of states at the Fermi level: 3.34 states/eV per cell. The value obtained for the formation energy is -6.5 meV/atom.

Unit cell a=6.2285 b=6.2285 c=10.2142 alpha=90.00 beta=90.00 gamma=119.55
Fractional positions:
Li 0.3348 0.6652 0.5000
Mg 0.8340 0.1660 0.0000
Mg 0.3350 0.6650 0.0000
Mg 0.3403 0.1536 0.5000
Mg 0.3333 0.1704 0.0000
Mg 0.8464 0.6597 0.5000
Mg 0.8296 0.6667 0.0000
Mg 0.1580 0.3341 0.2689
Mg 0.1580 0.3341 0.7311
Mg 0.6659 0.8420 0.2689
Mg 0.6659 0.8420 0.7311
Mg 0.6672 0.3328 0.2578
Mg 0.6672 0.3328 0.7422
Mg 0.1656 0.8344 0.2482
Mg 0.1656 0.8344 0.7518
Cu 0.8332 0.1668 0.5000

TcPtN2O | GGA-PBE | optimized geometry

Its formation energy (no corrections) is 812.3 meV per atom. As for the density of states at the Fermi level: 4.38 states/eV per cell.

Unit cell a=3.9806 b=3.9806 c=3.7275 alpha=90.00 beta=90.00 gamma=90.00
Fractional positions:
O 0.0000 0.0000 0.5000
Tc 0.0000 0.0000 0.0000
Pt 0.5000 0.5000 0.5000
N 0.0000 0.5000 0.0000
N 0.5000 0.0000 0.0000

Li2Al5Tc2 | GGA-PBE | optimized geometry

As for the density of states at the Fermi level: 6.58 states/eV per cell. The value obtained for the formation energy is -206.9 meV/atom.

Unit cell a=4.2772 b=4.2787 c=11.5155 alpha=56.21 beta=79.30 gamma=60.01
Fractional positions:
Li 0.1969 0.0162 0.5900
Li 0.8031 0.9838 0.4100
Al 0.3888 0.0567 0.1656
Al 0.6112 0.9433 0.8344
Al 0.0931 0.5335 0.2803
Al 0.9069 0.4665 0.7197
Al 0.0000 0.0000 0.0000
Tc 0.2952 0.5225 0.8870
Tc 0.7048 0.4775 0.1130

HgRuPtSe2 | GGA-PBE | optimized geometry

Its formation energy (no corrections) is 579.8 meV per atom. As for the density of states at the Fermi level: 5.09 states/eV per cell.

Unit cell a=4.7251 b=5.1623 c=4.7251 alpha=90.00 beta=90.00 gamma=90.00
Last column: magnetic moment on the atom in μB.
Fractional positions:
Ru 0.0000 0.0000 0.0000  0.26
Se 0.0000 0.0000 0.5000  0.01
Se 0.5000 0.0000 0.0000  0.01
Hg 0.5000 0.5000 0.5000  -0.01
Pt 0.0000 0.5000 0.0000  0.18

Tb4CoBr5 | GGA-PBE | optimized geometry

Its formation energy (no corrections) is -1343.9 meV per atom. As for the density of states at the Fermi level: 3.99 states/eV per cell.

Unit cell a=3.9138 b=8.4591 c=9.5582 alpha=102.68 beta=101.81 gamma=90.00
Fractional positions:
Tb 0.3547 0.9209 0.7094
Tb 0.9996 0.7913 0.9992
Tb 0.6453 0.0791 0.2906
Tb 0.0004 0.2087 0.0008
Co 0.5000 0.0000 0.0000
Br 0.8325 0.6613 0.6650
Br 0.8236 0.1592 0.6471
Br 0.1764 0.8408 0.3529
Br 0.5000 0.5000 0.0000
Br 0.1675 0.3387 0.3350

NaDyHg6 | GGA-PBE | optimized geometry

As for the density of states at the Fermi level: 3.62 states/eV per cell. The value obtained for the formation energy is -261.8 meV/atom.

Unit cell a=5.1654 b=6.5921 c=6.5921 alpha=120.03 beta=90.00 gamma=90.00
Fractional positions:
Na 0.5000 0.4167 0.5833
Dy 0.0000 0.0834 0.9166
Hg 0.0000 0.0824 0.4165
Hg 0.0000 0.5835 0.9176
Hg 0.0000 0.5828 0.4172
Hg 0.5000 0.4184 0.0839
Hg 0.5000 0.9161 0.5816
Hg 0.5000 0.9164 0.0836

TaCrSe | GGA-PBE | optimized geometry

Its formation energy (no corrections) is -117.4 meV per atom. As for the density of states at the Fermi level: 2.29 states/eV per cell.

Unit cell a=3.5642 b=3.5642 c=11.0156 alpha=80.69 beta=80.69 gamma=60.00
Fractional positions:
Ta 0.5613 0.5613 0.3161
Ta 0.4387 0.4387 0.6839
Se 0.2797 0.2797 0.1609
Se 0.7203 0.7203 0.8391
Cr 0.8392 0.8392 0.4824
Cr 0.1608 0.1608 0.5176

Cd3AuF | GGA-PBE | optimized geometry

Its formation energy (no corrections) is -303.1 meV per atom. As for the density of states at the Fermi level: 1.72 states/eV per cell.

Unit cell a=5.2967 b=5.2967 c=5.2967 alpha=90.00 beta=90.00 gamma=90.00
Fractional positions:
F 0.5000 0.5000 0.5000
Au 0.0000 0.0000 0.0000
Cd 0.0000 0.5000 0.0000
Cd 0.0000 0.0000 0.5000
Cd 0.5000 0.0000 0.0000

Please write out number 8 again, unchanged.
TaCrSe | GGA-PBE | optimized geometry

Its formation energy (no corrections) is -117.4 meV per atom. As for the density of states at the Fermi level: 2.29 states/eV per cell.

Unit cell a=3.5642 b=3.5642 c=11.0156 alpha=80.69 beta=80.69 gamma=60.00
Fractional positions:
Ta 0.5613 0.5613 0.3161
Ta 0.4387 0.4387 0.6839
Se 0.2797 0.2797 0.1609
Se 0.7203 0.7203 0.8391
Cr 0.8392 0.8392 0.4824
Cr 0.1608 0.1608 0.5176